Entry from the Alexandria database: an optimized crystal structure of IrOs2Pb (PBEsol).

Cell: 2.785 4.671 5.799 Å, 113.75 103.89 90.00°
Fractional positions:
Ir1 0.000 0.500 0.000
Os1 0.723 0.723 0.446
Os2 0.277 0.277 0.554
Pb1 0.500 0.000 0.000

## Properties
symmetry: Immm
total magnetization: 0.00 μB/f.u.
E_form: 0.883 eV/atom



Entry from the Alexandria database: an optimized crystal structure of LiMg2Al (PBEsol).

Cell: 3.693 4.524 5.415 Å, 114.69 109.93 90.00°
Fractional positions:
Mg1 0.993 0.993 0.986
Mg2 0.755 0.255 0.510
Al1 0.509 0.509 0.018
Li1 0.243 0.743 0.486

## Properties
symmetry: Imm2
total magnetization: 0.00 μB/f.u.
E_form: -0.028 eV/atom



Entry from the Alexandria database: an optimized crystal structure of ScOs3Pd (PBEsol).

Cell: 4.510 4.510 4.510 Å, 90.00 90.00 90.00°
Fractional positions:
Sc1 0.000 0.000 0.000
Os1 0.000 0.500 0.000
Os2 0.000 0.000 0.500
Os3 0.500 0.000 0.000
Pd1 0.500 0.500 0.500

## Properties
symmetry: Pm-3m
total magnetization: 1.02 μB/f.u.
E_form: 2.468 eV/atom



Entry from the Alexandria database: an optimized crystal structure of CoRu2Cl (PBEsol).

Cell: 2.758 2.758 8.097 Å, 80.19 80.19 60.00°
Fractional positions:
Ru1 0.998 0.998 0.005
Ru2 0.750 0.750 0.750
Co1 0.246 0.246 0.262
Cl1 0.505 0.505 0.484

## Properties
symmetry: R3m
E above lowest polymorph: 0 meV/atom
total magnetization: 1.55 μB/f.u.
raw formation energy: 34.0 kJ per mole of atoms



| no. | energy (eV per atom) |
| --- | --- |
| 1 | -8.680 |
| 2 | -2.401 |
| 3 | -7.374 |
| 4 | -7.170 |